{"formula": "Ca2SmDy", "functional": "GGA-PBE", "state": "relaxed", "lattice_angstrom": [[5.072, 0.000, 0.000], [0.000, 5.072, 0.000], [0.000, 0.000, 5.584]], "species": ["Ca", "Ca", "Sm", "Dy"], "frac_coords": [[0.000, 0.500, 0.000], [0.500, 0.000, 0.000], [0.000, 0.000, 0.500], [0.500, 0.500, 0.500]], "m_tot_mub_per_fu": 0.00, "e_above_lowest_polymorph_mev_per_atom": 113, "spacegroup": "P4/mmm, No. 123"}